A relaxed structure of TbSmSi2Ir. Source: OQMD via LeMat-Bulk, functional PBE.

- uncorrected energy (eV/atom) = -6.73
- magnetic moment (μB/atom) = 0.00

Lattice parameters (Å, degrees): 5.693 5.693 10.258 115.51 115.51 44.23
Positions (direct):
Si: 0.509 0.509 0.382
Si: 0.491 0.491 0.618
Si: 0.351 0.351 0.946
Si: 0.649 0.649 0.054
Ir: 0.730 0.730 0.846
Tb: 0.007 0.007 0.829
Tb: 0.993 0.993 0.171
Ir: 0.270 0.270 0.154
Sm: 0.808 0.808 0.386
Sm: 0.192 0.192 0.614